# 1
Computed, not measured: a relaxed Tl4SiAu5 crystal at the GGA-PBE level of DFT.

a b c (Å): 4.915 7.262 7.262
angles (deg): 83.42 70.22 70.22
Element x y z (fractional)
Au1 0.151 0.000 0.639
Au2 0.790 0.000 0.361
Au3 0.622 0.000 0.000
Au4 0.790 0.361 0.000
Au5 0.151 0.639 0.000
Tl1 0.464 0.310 0.690
Tl2 0.464 0.690 0.310
Tl3 0.774 0.690 0.690
Tl4 0.154 0.310 0.310
Si1 0.129 0.000 0.000

Calculated values
V, Å³/atom: 22.95
Formation energy from raw total energies, eV per atom: -0.026

***

# 2
Computed, not measured: a relaxed Na2P2Os crystal at the GGA-PBE level of DFT.

a b c (Å): 3.143 3.143 10.035
angles (deg): 80.99 80.99 90.00
Last column: magnetic moment on the atom in μB.
Element x y z (fractional)
P1 0.750 0.250 0.500  -0.01
P2 0.250 0.750 0.500  -0.01
Na1 0.389 0.389 0.223  -0.01
Na2 0.611 0.611 0.777  -0.01
Os1 0.000 0.000 0.000  1.27

Calculated values
ΔE to the lowest computed polymorph, eV per formula unit: 5.37
E_form, eV/atom: 0.72
V, Å³/atom: 19.33

***

# 3
Computed, not measured: a relaxed Pb2Se crystal at the GGA-PBE level of DFT.

a b c (Å): 4.714 4.714 4.415
angles (deg): 90.00 90.00 90.00
Element x y z (fractional)
Se1 0.000 0.000 0.000
Pb1 0.500 0.000 0.500
Pb2 0.000 0.500 0.500

Calculated values
ΔE to the lowest computed polymorph, eV per formula unit: 0.26
V, Å³/atom: 32.70
Formation energy from raw total energies, eV per atom: -0.151

***

# 4
Computed, not measured: a relaxed ZnCo4P crystal at the GGA-PBE level of DFT.

a b c (Å): 4.729 4.729 4.729
angles (deg): 60.00 60.00 60.00
Last column: magnetic moment on the atom in μB.
Element x y z (fractional)
Co1 0.375 0.874 0.375  1.68
Co2 0.874 0.375 0.375  1.68
Co3 0.375 0.375 0.874  1.68
Co4 0.375 0.375 0.375  1.68
P1 0.750 0.750 0.750  0.03
Zn1 0.000 0.000 0.000  -0.06

Calculated values
E_form, eV/atom: 0.29
V, Å³/atom: 12.46

***

Calculated total energy / eV for the cell shown: -31.5, -21.1, -11.4, -33.4
N(E_F) / states/eV/f.u.: 2.1, 3.0, 1.4, 6.5
Total magnetization / μB per formula unit: 0.00, 1.23, 0.00, 6.62